[1]
## Al2InBi2 (PBE)

Data for a relaxed Al2InBi2 crystal.

The density of states at the Fermi level is 4.613 states/eV/cell. The calculation puts the formation energy at 0.2336 eV/atom.

The structure belongs to space group P4/mbm (No. 127); the cell edges are 8.944, 8.944 and 3.417 Å and the angles 90.00°, 90.00° and 90.00°. Symmetry generates all atoms from Al at (0.120, 0.380, 0.000), In at (0.000, 0.000, 0.500) and Bi at (0.173, 0.673, 0.500).



[2]
## AlIn2Bi4 (PBE)

Data for a relaxed AlIn2Bi4 crystal.

The density of states at the Fermi level is 10.244 states/eV/cell. The calculation puts the formation energy at 0.3565 eV/atom.

The structure belongs to space group I4/mmm (No. 139); the cell edges are 5.634, 5.634 and 15.062 Å and the angles 90.00°, 90.00° and 90.00°. Symmetry generates all atoms from Al at (0.000, 0.000, 0.000), In at (0.000, 0.000, 0.387), Bi at (0.000, 0.000, 0.190) and Bi at (0.000, 0.500, 0.000).



[3]
## Al2InBi2 (PBE)

Data for a relaxed Al2InBi2 crystal.

The density of states at the Fermi level is 4.843 states/eV/cell. The calculation puts the formation energy at 0.1940 eV/atom.

The structure belongs to space group I4/mmm (No. 139); the cell edges are 5.355, 5.355 and 10.093 Å and the angles 90.00°, 90.00° and 90.00°. Symmetry generates all atoms from Al at (0.000, 0.000, 0.128), In at (0.000, 0.000, 0.500) and Bi at (0.000, 0.500, 0.250).



[4]
## AlIn2Bi (PBE)

Data for a relaxed AlIn2Bi crystal.

The density of states at the Fermi level is 1.689 states/eV/cell. The calculation puts the formation energy at 0.1354 eV/atom.

The structure belongs to space group P4/mmm (No. 123); the cell edges are 3.451, 3.451 and 8.787 Å and the angles 90.00°, 90.00° and 90.00°. Symmetry generates all atoms from Al at (0.000, 0.000, 0.000), In at (0.500, 0.500, 0.217) and Bi at (0.000, 0.000, 0.500).



[5]
## Al3In12Bi5 (PBE)

Data for a relaxed Al3In12Bi5 crystal.

The density of states at the Fermi level is 70.962 states/eV/cell. The calculation puts the formation energy at 0.1704 eV/atom.

The structure belongs to space group Ia-3d (No. 230); the cell edges are 17.395, 17.395 and 17.395 Å and the angles 90.00°, 90.00° and 90.00°. Symmetry generates all atoms from Al at (0.000, 0.250, 0.125), In at (0.016, 0.090, 0.652), Bi at (0.000, 0.000, 0.000) and Bi at (0.000, 0.250, 0.375).



[6]
## Al2InBi2 (PBE)

Data for a relaxed Al2InBi2 crystal.

The density of states at the Fermi level is 4.383 states/eV/cell. The calculation puts the formation energy at 0.1441 eV/atom.

The structure belongs to space group I4/mmm (No. 139); the cell edges are 4.361, 4.361 and 15.291 Å and the angles 90.00°, 90.00° and 90.00°. Symmetry generates all atoms from Al at (0.000, 0.500, 0.250), In at (0.000, 0.000, 0.000) and Bi at (0.000, 0.000, 0.377).



[7]
## AlIn2Bi (PBE)

Data for a relaxed AlIn2Bi crystal.

The density of states at the Fermi level is 9.863 states/eV/cell. The calculation puts the formation energy at 0.3027 eV/atom.

The structure belongs to space group I-42d (No. 122); the cell edges are 6.865, 6.865 and 12.080 Å and the angles 90.00°, 90.00° and 90.00°. Symmetry generates all atoms from Al at (0.000, 0.000, 0.000), In at (0.224, 0.250, 0.125) and Bi at (0.000, 0.000, 0.500).



[8]
## AlIn3Bi (PBE)

Data for a relaxed AlIn3Bi crystal.

The density of states at the Fermi level is 4.052 states/eV/cell. The calculation puts the formation energy at 0.7669 eV/atom.

The structure belongs to space group Pm-3m (No. 221); the cell edges are 5.861, 5.861 and 5.861 Å and the angles 90.00°, 90.00° and 90.00°. Symmetry generates all atoms from Al at (0.000, 0.000, 0.000), In at (0.000, 0.500, 0.500) and Bi at (0.500, 0.500, 0.500).



[9]
## Al5In12Bi3 (PBE)

Data for a relaxed Al5In12Bi3 crystal.

The density of states at the Fermi level is 96.865 states/eV/cell. The calculation puts the formation energy at 0.2424 eV/atom.

The structure belongs to space group Ia-3d (No. 230); the cell edges are 17.150, 17.150 and 17.150 Å and the angles 90.00°, 90.00° and 90.00°. Symmetry generates all atoms from Al at (0.000, 0.000, 0.000), Al at (0.000, 0.250, 0.375), In at (0.026, 0.069, 0.646) and Bi at (0.000, 0.250, 0.125).



[10]
## AlInBi2Mo (PBE)

Data for a relaxed AlInBi2Mo crystal.

The density of states at the Fermi level is 3.148 states/eV/cell. The calculation puts the formation energy at 0.6473 eV/atom.

The structure belongs to space group P4/mmm (No. 123); the cell edges are 5.385, 5.385 and 5.371 Å and the angles 90.00°, 90.00° and 90.00°. Symmetry generates all atoms from Al at (0.000, 0.000, 0.000), In at (0.500, 0.500, 0.000), Bi at (0.000, 0.500, 0.500) and Mo at (0.500, 0.500, 0.500).



[11]
## NaAl2InBi (PBE)

Data for a relaxed NaAl2InBi crystal.

The density of states at the Fermi level is 3.177 states/eV/cell. The calculation puts the formation energy at 0.7656 eV/atom.

The structure belongs to space group P4/mmm (No. 123); the cell edges are 5.326, 5.326 and 5.534 Å and the angles 90.00°, 90.00° and 90.00°. Symmetry generates all atoms from Na at (0.000, 0.000, 0.000), Al at (0.000, 0.500, 0.000), In at (0.500, 0.500, 0.500) and Bi at (0.000, 0.000, 0.500).



[12]
## AlIn2BiO6 (PBE)

Data for a relaxed AlIn2BiO6 crystal.

The density of states at the Fermi level is 0.000 states/eV/cell. The value obtained for the formation energy without anion corrections is -40.11 kcal/mol of atoms.

The structure belongs to space group R3 (No. 146, hexagonal axes); the cell edges are 5.5014, 5.5014 and 14.8033 Å and the angles 90.00°, 90.00° and 120.00°. Symmetry generates all atoms from Al at (0.0000, 0.0000, 0.0000), In at (0.0000, 0.0000, 0.3042), In at (0.0000, 0.0000, 0.7896), Bi at (0.0000, 0.0000, 0.5189), O at (0.0127, 0.3658, 0.7298) and O at (0.0191, 0.7375, 0.9107).



[13]
## AlInBi2O6 (PBE)

Data for a relaxed AlInBi2O6 crystal.

The density of states at the Fermi level is 0.000 states/eV/cell. The value obtained for the formation energy without anion corrections is -39.25 kcal/mol of atoms.

The structure belongs to space group R3 (No. 146, hexagonal axes); the cell edges are 5.6747, 5.6747 and 14.1620 Å and the angles 90.00°, 90.00° and 120.00°. Symmetry generates all atoms from Al at (0.0000, 0.0000, 0.0000), In at (0.0000, 0.0000, 0.5057), Bi at (0.0000, 0.0000, 0.2831), Bi at (0.0000, 0.0000, 0.7819), O at (0.0006, 0.4263, 0.7319) and O at (0.1060, 0.7308, 0.5734).



[14]
## AlInRe2Bi (PBE)

Data for a relaxed AlInRe2Bi crystal.

The density of states at the Fermi level is 6.235 states/eV/cell. The calculation puts the formation energy at 1.5192 eV/atom.

The structure belongs to space group P4/mmm (No. 123); the cell edges are 4.720, 4.720 and 4.863 Å and the angles 90.00°, 90.00° and 90.00°. Symmetry generates all atoms from Al at (0.000, 0.000, 0.000), In at (0.000, 0.000, 0.500), Re at (0.000, 0.500, 0.000) and Bi at (0.500, 0.500, 0.500).



[15]
## Al2InBiS6 (PBE)

Data for a relaxed Al2InBiS6 crystal.

The density of states at the Fermi level is 0.000 states/eV/cell. The value obtained for the formation energy without anion corrections is -16.59 kcal/mol of atoms.

The structure belongs to space group C2/c (No. 15); the cell edges are 12.340, 11.814 and 6.586 Å and the angles 90.00°, 101.52° and 90.00°. Symmetry generates all atoms from Al at (0.189, 0.086, 0.295), In at (0.000, 0.213, 0.750), Bi at (0.000, 0.398, 0.250), S at (0.122, 0.400, 0.656), S at (0.128, 0.241, 0.105) and S at (0.139, 0.075, 0.611).



[16]
## AlIn2BiS6 (PBE)

Data for a relaxed AlIn2BiS6 crystal.

The value obtained for the formation energy without anion corrections is -13.43 kcal/mol of atoms.

The structure belongs to space group C2/c (No. 15); the cell edges are 12.315, 13.305 and 6.997 Å and the angles 90.00°, 112.17° and 90.00°. Symmetry generates all atoms from Al at (0.000, 0.173, 0.250), In at (0.112, 0.411, 0.643), Bi at (0.000, 0.093, 0.750), S at (0.122, 0.232, 0.561), S at (0.123, 0.417, 0.011) and S at (0.128, 0.068, 0.179).



[17]
## Sc2AlInBi (PBE)

Data for a relaxed Sc2AlInBi crystal.

The density of states at the Fermi level is 3.247 states/eV/cell. The calculation puts the formation energy at 0.1270 eV/atom.

The structure belongs to space group P4/mmm (No. 123); the cell edges are 5.242, 5.242 and 4.992 Å and the angles 90.00°, 90.00° and 90.00°. Symmetry generates all atoms from Sc at (0.000, 0.500, 0.000), Al at (0.000, 0.000, 0.000), In at (0.000, 0.000, 0.500) and Bi at (0.500, 0.500, 0.500).